# 1
The following is a PBE calculation of a relaxed structure of Yb6Hf, from Alexandria.

abc: 7.1477 7.1477 7.1477
angles: 109.47 109.47 109.47
Last column: magnetic moment on the atom in μB.
Fractional coordinates of all 7 atoms:
Hf 0.0000 0.0000 0.0000  0.52
Yb 0.5000 0.7500 0.2500  0.01
Yb 0.7500 0.2500 0.5000  0.01
Yb 0.5000 0.2500 0.7500  0.01
Yb 0.7500 0.5000 0.2500  0.01
Yb 0.2500 0.7500 0.5000  0.01
Yb 0.2500 0.5000 0.7500  0.01

Properties
Its space-group type is Im-3m. As for the density of states at the Fermi level: 11.75 states/eV/f.u. Its energy of formation is 1.6168 eV per atom. The calculation puts the total moment at 0.155 μB per atom.

=====

# 2
The following is a PBE calculation of a relaxed structure of HfZn16, from Alexandria.

abc: 6.9374 6.9374 11.8012
angles: 90.00 90.00 111.72
Fractional coordinates of all 34 atoms:
Zn 0.1783 0.8217 0.6401
Zn 0.7567 0.6496 0.6346
Hf 0.9532 0.0468 0.7500
Zn 0.7075 0.2925 0.7500
Zn 0.9826 0.3551 0.9306
Zn 0.2433 0.3504 0.3654
Zn 0.8217 0.1783 0.1401
Zn 0.3803 0.6197 0.9700
Zn 0.7567 0.6496 0.8654
Zn 0.0000 0.0000 0.0000
Zn 0.4808 0.1928 0.2500
Zn 0.1783 0.8217 0.8599
Zn 0.6449 0.0174 0.5694
Zn 0.0174 0.6449 0.0694
Zn 0.3551 0.9826 0.4306
Zn 0.5192 0.8072 0.7500
Zn 0.2925 0.7075 0.2500
Zn 0.0000 0.0000 0.5000
Zn 0.0174 0.6449 0.4306
Zn 0.3504 0.2433 0.8654
Zn 0.3551 0.9826 0.0694
Zn 0.3504 0.2433 0.6346
Zn 0.8217 0.1783 0.3599
Zn 0.6496 0.7567 0.1346
Zn 0.6449 0.0174 0.9306
Hf 0.0468 0.9532 0.2500
Zn 0.8072 0.5192 0.2500
Zn 0.6197 0.3803 0.0300
Zn 0.6496 0.7567 0.3654
Zn 0.1928 0.4808 0.7500
Zn 0.6197 0.3803 0.4700
Zn 0.2433 0.3504 0.1346
Zn 0.9826 0.3551 0.5694
Zn 0.3803 0.6197 0.5300

Properties
Its space-group type is Cmcm. As for the density of states at the Fermi level: 3.79 states/eV/f.u. Its energy of formation is -0.0584 eV per atom. The calculation puts the total moment at 0.000 μB per atom.

=====

# 3
The following is a PBE calculation of a relaxed structure of HfZn4, from Alexandria.

abc: 5.2944 5.2944 5.2944
angles: 90.00 90.00 90.00
Last column: magnetic moment on the atom in μB.
Fractional coordinates of all 5 atoms:
Zn 0.0000 0.5000 0.5000  0.04
Hf 0.5000 0.5000 0.5000  0.35
Zn 0.5000 0.5000 0.0000  0.04
Zn 0.0000 0.0000 0.0000  0.00
Zn 0.5000 0.0000 0.5000  0.04

Properties
Its space-group type is Pm-3m. As for the density of states at the Fermi level: 6.08 states/eV/f.u. Its energy of formation is 1.0591 eV per atom. The calculation puts the total moment at 0.153 μB per atom. For the polymorph energy (0 for the lowest one), the calculation gives 1210 meV/atom.

=====

# 4
The following is a PBE calculation of a relaxed structure of Hf6Zn23, from Alexandria.

abc: 8.6653 8.6653 8.6653
angles: 60.00 60.00 60.00
Fractional coordinates of all 29 atoms:
Zn 0.3794 0.8616 0.3794
Zn 0.0000 0.5000 0.5000
Zn 0.8329 0.5014 0.8329
Hf 0.8162 0.1838 0.8162
Zn 0.1384 0.6206 0.6206
Zn 0.6206 0.6206 0.1384
Zn 0.3794 0.3794 0.3794
Zn 0.4986 0.1671 0.1671
Zn 0.1671 0.1671 0.4986
Zn 0.0000 0.5000 0.0000
Zn 0.5000 0.5000 0.5000
Zn 0.8329 0.8329 0.5014
Zn 0.3794 0.3794 0.8616
Hf 0.8162 0.1838 0.1838
Zn 0.0000 0.0000 0.5000
Zn 0.1671 0.4986 0.1671
Zn 0.6206 0.6206 0.6206
Zn 0.5014 0.8329 0.8329
Zn 0.1671 0.1671 0.1671
Zn 0.5000 0.0000 0.5000
Hf 0.1838 0.1838 0.8162
Hf 0.1838 0.8162 0.8162
Zn 0.5000 0.5000 0.0000
Hf 0.8162 0.8162 0.1838
Zn 0.6206 0.1384 0.6206
Zn 0.8616 0.3794 0.3794
Zn 0.5000 0.0000 0.0000
Zn 0.8329 0.8329 0.8329
Hf 0.1838 0.8162 0.1838

Properties
Its space-group type is Fm-3m. As for the density of states at the Fermi level: 13.41 states/eV/f.u. Its energy of formation is -0.1656 eV per atom. The calculation puts the total moment at 0.000 μB per atom.

=====

# 5
The following is a PBE calculation of a relaxed structure of HfZn4, from Alexandria.

abc: 7.5379 7.5379 7.5379
angles: 109.47 109.47 109.47
Fractional coordinates of all 20 atoms:
Zn 0.2500 0.5000 0.7500
Zn 0.6542 0.0000 0.6542
Zn 0.2500 0.7500 0.5000
Zn 0.7919 0.7919 0.7919
Zn 0.5000 0.7500 0.2500
Zn 0.2081 0.0000 0.0000
Zn 0.0000 0.3458 0.3458
Zn 0.3458 0.0000 0.3458
Zn 0.5000 0.2500 0.7500
Hf 0.4352 0.4352 0.4352
Zn 0.0000 0.2081 0.0000
Zn 0.0000 0.6542 0.6542
Hf 0.0000 0.0000 0.5648
Zn 0.7500 0.2500 0.5000
Zn 0.7500 0.5000 0.2500
Zn 0.0000 0.0000 0.2081
Hf 0.5648 0.0000 0.0000
Hf 0.0000 0.5648 0.0000
Zn 0.6542 0.6542 0.0000
Zn 0.3458 0.3458 0.0000

Properties
Its space-group type is I-43m. As for the density of states at the Fermi level: 2.29 states/eV/f.u. Its energy of formation is 0.0179 eV per atom. The calculation puts the total moment at 0.000 μB per atom. For the polymorph energy (0 for the lowest one), the calculation gives 169 meV/atom.

=====

# 6
The following is a PBE calculation of a relaxed structure of HfZn11, from Alexandria.

abc: 6.7824 8.0958 8.0958
angles: 79.89 65.24 65.24
Fractional coordinates of all 24 atoms:
Zn 0.8750 0.2500 0.7500
Zn 0.7500 0.5000 0.5000
Hf 0.5000 0.0000 0.0000
Zn 0.9999 0.6769 0.9167
Hf 0.2500 0.5000 0.5000
Zn 0.9999 0.9167 0.6769
Zn 0.4268 0.4167 0.8231
Zn 0.6666 0.1769 0.5833
Zn 0.8750 0.7500 0.2500
Zn 0.0834 0.9167 0.3231
Zn 0.7501 0.5833 0.8231
Zn 0.4268 0.8231 0.4167
Zn 0.6666 0.5833 0.1769
Zn 0.7501 0.8231 0.5833
Zn 0.3232 0.6769 0.0833
Zn 0.8750 0.2500 0.2500
Zn 0.0834 0.3231 0.9167
Zn 0.3750 0.7500 0.7500
Zn 0.5935 0.0833 0.3231
Zn 0.1565 0.1769 0.4167
Zn 0.1565 0.4167 0.1769
Zn 0.5935 0.3231 0.0833
Zn 0.3232 0.0833 0.6769
Zn 0.0000 0.0000 0.0000

Properties
Its space-group type is I4_1/amd. As for the density of states at the Fermi level: 3.08 states/eV/f.u. Its energy of formation is -0.0103 eV per atom. The calculation puts the total moment at 0.000 μB per atom.

=====

Look up the total moment of the third one.
0.153 μB per atom

=====

Repeat the third record exactly.
The following is a PBE calculation of a relaxed structure of HfZn4, from Alexandria.

abc: 5.2944 5.2944 5.2944
angles: 90.00 90.00 90.00
Last column: magnetic moment on the atom in μB.
Fractional coordinates of all 5 atoms:
Zn 0.0000 0.5000 0.5000  0.04
Hf 0.5000 0.5000 0.5000  0.35
Zn 0.5000 0.5000 0.0000  0.04
Zn 0.0000 0.0000 0.0000  0.00
Zn 0.5000 0.0000 0.5000  0.04

Properties
Its space-group type is Pm-3m. As for the density of states at the Fermi level: 6.08 states/eV/f.u. Its energy of formation is 1.0591 eV per atom. The calculation puts the total moment at 0.153 μB per atom. For the polymorph energy (0 for the lowest one), the calculation gives 1210 meV/atom.

=====

Number 3 is which compound?
HfZn4